The following is a DFT calculation (GGA+U) of a relaxed structure of Co2Re2O5.

Calculated values
Theoretical density ... 9.7 g/cm3
Total energy ... -7.121 eV/atom
Size of the total moment ... 4.039 μB/f.u.

abc: 8.671 3.361 3.361
angles: 90.00 90.00 90.00
Fractional positions:
Co 0.000 0.000 0.000
Co 0.500 0.000 0.000
O 0.152 0.500 0.000
O 0.848 0.500 0.000
O 0.152 0.000 0.500
O 0.848 0.000 0.500
O 0.500 0.500 0.500
Re 0.278 0.500 0.500
Re 0.722 0.500 0.500